A plane-wave DFT calculation with PBE was carried out for crystalline GeTe2SeI at its relaxed geometry.

The structure in POSCAR format:
```
GeTe2SeI
1.0
5.512 0.000 0.000
0.000 5.512 0.000
0.000 0.000 5.389
Te Se I Ge
2 1 1 1
Cartesian
2.756 0.000 0.000
0.000 2.756 0.000
2.756 2.756 2.694
0.000 0.000 2.694
0.000 0.000 0.000
```

## Properties
- Symmetry: P4/mmm (123)
- Energy above the lowest structure with this stoichiometry: 48 meV/atom
- E_form (uncorrected): 0.62 eV/atom
- Crystal system: tetragonal